Entry 1:
TiCoIO2 after structural relaxation, computed with GGA+U.

Output
DOS(E_F) in states/eV per cell: 5.303
Symmetry: P4/mmm
Energy relative to the lowest polymorph listed for this composition in eV/atom: 1.0125

Unit cell a=3.930 b=3.930 c=5.052 alpha=90.00 beta=90.00 gamma=90.00
Last column: magnetic moment on the atom in μB.
Atoms (fractional coordinates):
Ti: 0.500 0.500 0.500  0.07
O: 0.500 0.000 0.000  0.09
O: 0.000 0.500 0.000  0.09
I: 0.000 0.000 0.500  0.01
Co: 0.000 0.000 0.000  2.32

---

Entry 2:
Tl2CoIO6 after structural relaxation, computed with GGA+U.

Output
DOS(E_F) in states/eV per cell: 5.044
Symmetry: R-3m
Uncorrected energy in eV/cell: -91.8

Unit cell a=5.938 b=5.938 c=10.054 alpha=72.83 beta=72.83 gamma=60.00
Last column: magnetic moment on the atom in μB.
Atoms (fractional coordinates):
O: 0.602 0.602 0.628  0.10
O: 0.730 0.195 0.880  0.12
O: 0.270 0.805 0.120  0.12
O: 0.805 0.805 0.120  0.12
O: 0.168 0.602 0.628  0.10
O: 0.602 0.168 0.628  0.10
O: 0.832 0.398 0.372  0.10
O: 0.195 0.195 0.880  0.12
O: 0.398 0.832 0.372  0.10
O: 0.195 0.730 0.880  0.12
O: 0.805 0.270 0.120  0.12
O: 0.398 0.398 0.372  0.10
Co: 0.401 0.401 0.796  2.91
Co: 0.599 0.599 0.204  2.91
Tl: 0.129 0.129 0.614  0.02
Tl: 0.278 0.278 0.167  0.00
Tl: 0.871 0.871 0.386  0.02
Tl: 0.722 0.722 0.833  0.00
I: 0.500 0.500 0.500  -0.01
I: 0.000 0.000 0.000  0.02

---

Entry 3:
TlCoI2O after structural relaxation, computed with GGA+U.

Output
DOS(E_F) in states/eV per cell: 4.579
Symmetry: P4/mmm
Energy relative to the lowest polymorph listed for this composition in eV/atom: 0.8299

Unit cell a=6.133 b=6.133 c=4.098 alpha=90.00 beta=90.00 gamma=90.00
Last column: magnetic moment on the atom in μB.
Atoms (fractional coordinates):
Co: 0.500 0.500 0.500  2.59
Tl: 0.000 0.000 0.000  0.00
I: 0.500 0.000 0.000  0.03
I: 0.000 0.500 0.000  0.03
O: 0.000 0.000 0.500  0.00

---

Entry 4:
TlCoIO6 after structural relaxation, computed with GGA+U.

Output
DOS(E_F) in states/eV per cell: 3.827
Symmetry: P312
Uncorrected energy in eV/cell: -43.6

Unit cell a=5.103 b=5.103 c=5.307 alpha=90.00 beta=90.00 gamma=60.00
Atoms (fractional coordinates):
O: 0.998 0.624 0.703
O: 0.624 0.998 0.297
O: 0.378 0.998 0.703
O: 0.378 0.624 0.297
O: 0.998 0.378 0.297
O: 0.624 0.378 0.703
Co: 0.667 0.667 0.500
Tl: 0.000 0.000 0.000
I: 0.333 0.333 0.500

---

Entry 5:
TlCoI2O after structural relaxation, computed with GGA+U.

Output
DOS(E_F) in states/eV per cell: 1.805
Symmetry: P4/mmm
Energy relative to the lowest polymorph listed for this composition in eV/atom: 0.0000

Unit cell a=6.221 b=6.221 c=3.600 alpha=90.00 beta=90.00 gamma=90.00
Last column: magnetic moment on the atom in μB.
Atoms (fractional coordinates):
Tl: 0.500 0.500 0.500  0.00
I: 0.500 0.000 0.000  0.09
I: 0.000 0.500 0.000  0.09
O: 0.000 0.000 0.500  0.47
Co: 0.000 0.000 0.000  2.74

---

Entry 6:
Tl3CoI2O9 after structural relaxation, computed with GGA+U.

Output
DOS(E_F) in states/eV per cell: 6.896
Symmetry: P-3m1
Uncorrected energy in eV/cell: -65.9

Unit cell a=5.858 b=5.858 c=7.173 alpha=90.00 beta=90.00 gamma=120.00
Last column: magnetic moment on the atom in μB.
Atoms (fractional coordinates):
O: 0.175 0.825 0.326  0.00
O: 0.500 0.000 0.000  -0.01
O: 0.175 0.351 0.326  0.00
O: 0.825 0.649 0.674  0.00
O: 0.500 0.500 0.000  -0.01
O: 0.000 0.500 0.000  -0.01
O: 0.825 0.175 0.674  0.00
O: 0.649 0.825 0.326  0.00
O: 0.351 0.175 0.674  0.00
Co: 0.000 0.000 0.500  2.71
Tl: 0.667 0.333 0.329  0.00
Tl: 0.333 0.667 0.671  0.00
Tl: 0.000 0.000 0.000  -0.02
I: 0.333 0.667 0.181  0.01
I: 0.667 0.333 0.819  0.01

---

Entry 7:
UCoIO6 after structural relaxation, computed with GGA+U.

Output
Symmetry: P-31c
Uncorrected energy in eV/cell: -120.8

Unit cell a=5.605 b=5.605 c=8.925 alpha=90.00 beta=90.00 gamma=120.00
Last column: magnetic moment on the atom in μB.
Atoms (fractional coordinates):
O: 0.661 0.665 0.129  0.04
O: 0.996 0.335 0.629  0.04
O: 0.335 0.339 0.371  0.04
O: 0.339 0.004 0.629  0.04
O: 0.665 0.004 0.871  0.04
O: 0.004 0.339 0.129  0.04
O: 0.335 0.996 0.129  0.04
O: 0.004 0.665 0.371  0.04
O: 0.339 0.335 0.871  0.04
O: 0.996 0.661 0.871  0.04
O: 0.665 0.661 0.629  0.04
O: 0.661 0.996 0.371  0.04
Co: 0.000 0.000 0.500  2.75
Co: 0.000 0.000 0.000  2.75
I: 0.333 0.667 0.250  0.01
I: 0.667 0.333 0.750  0.01
U: 0.333 0.667 0.750  -1.02
U: 0.667 0.333 0.250  -1.02

---

Entry 8:
VCoIO2 after structural relaxation, computed with GGA+U.

Output
DOS(E_F) in states/eV per cell: 1.086
Symmetry: P4/mmm
Energy relative to the lowest polymorph listed for this composition in eV/atom: 0.0000

Unit cell a=3.752 b=3.752 c=6.946 alpha=90.00 beta=90.00 gamma=90.00
Last column: magnetic moment on the atom in μB.
Atoms (fractional coordinates):
Co: 0.500 0.500 0.500  -1.86
I: 0.000 0.000 0.500  0.04
V: 0.000 0.000 0.000  1.20
O: 0.000 0.500 0.000  -0.14
O: 0.500 0.000 0.000  -0.14

---

Entry 9:
VCoIO6 after structural relaxation, computed with GGA+U.

Output
Symmetry: P-31c
Uncorrected energy in eV/cell: -104.5

Unit cell a=5.203 b=5.203 c=8.925 alpha=90.00 beta=90.00 gamma=120.00
Last column: magnetic moment on the atom in μB.
Atoms (fractional coordinates):
O: 0.639 0.976 0.368  0.02
O: 0.337 0.361 0.368  0.02
O: 0.639 0.663 0.132  0.02
O: 0.024 0.361 0.132  0.02
O: 0.024 0.663 0.368  0.02
O: 0.663 0.639 0.632  0.02
O: 0.337 0.976 0.132  0.02
O: 0.361 0.337 0.868  0.02
O: 0.663 0.024 0.868  0.02
O: 0.976 0.639 0.868  0.02
O: 0.976 0.337 0.632  0.02
O: 0.361 0.024 0.632  0.02
Co: 0.000 0.000 0.500  2.74
Co: 0.000 0.000 0.000  2.74
V: 0.667 0.333 0.750  0.09
V: 0.333 0.667 0.250  0.09
I: 0.667 0.333 0.250  0.01
I: 0.333 0.667 0.750  0.01

---

Entry 10:
VCoIO2 after structural relaxation, computed with GGA+U.

Output
DOS(E_F) in states/eV per cell: 3.641
Symmetry: P4/mmm
Energy relative to the lowest polymorph listed for this composition in eV/atom: 0.6824

Unit cell a=3.924 b=3.924 c=5.484 alpha=90.00 beta=90.00 gamma=90.00
Last column: magnetic moment on the atom in μB.
Atoms (fractional coordinates):
Co: 0.000 0.000 0.000  2.61
O: 0.500 0.000 0.000  0.37
O: 0.000 0.500 0.000  0.37
I: 0.000 0.000 0.500  0.02
V: 0.500 0.500 0.500  2.89